Entry 1:
ZrInIr2 after structural relaxation, computed with GGA-PBE.

For the total magnetization, the calculation gives 0.085 μB/atom. The value obtained for the density of states at the Fermi level is 5.87 states/eV per cell. As for the total energy: -7.357 eV/atom. The calculated formation energy is -0.4 eV per formula unit.

It has space group P4mm (No. 99), with a = 2.9900 Å, b = 2.9900 Å, c = 8.0420 Å, α = 90.00°, β = 90.00° and γ = 90.00°. Symmetry generates all atoms from Zr at (0.0000, 0.0000, 0.0000), In at (0.5000, 0.5000, 0.3089), Ir at (0.0000, 0.0000, 0.5389) and Ir at (0.5000, 0.5000, 0.7672).


Entry 2:
ZrTeAs2 after structural relaxation, computed with GGA-PBE.

For the energy relative to the elements, uncorrected, the calculation gives -125.2 meV per atom. For the total magnetization, the calculation gives 0.000 μB/atom. The value obtained for the density of states at the Fermi level is 1.74 states/eV per cell. As for the total energy: -5.372 eV/atom.

It has space group Pmmm (No. 47), with a = 3.8265 Å, b = 4.1205 Å, c = 5.6920 Å, α = 90.00°, β = 90.00° and γ = 90.00°. Symmetry generates all atoms from Zr at (0.0000, 0.0000, 0.0000), Te at (0.5000, 0.0000, 0.5000), As at (0.0000, 0.5000, 0.5000) and As at (0.5000, 0.5000, 0.0000).


Entry 3:
MnBeTcPd after structural relaxation, computed with GGA-PBE.

For the total magnetization, the calculation gives 0.000 μB/atom. The value obtained for the density of states at the Fermi level is 2.39 states/eV per cell. As for the total energy: -7.132 eV/atom. The calculated formation energy is -0.1 eV per formula unit. For the energy above the most stable polymorph in this dataset, the calculation gives 0.64 eV/f.u.

It has space group P3m1 (No. 156), with a = 2.6959 Å, b = 2.6959 Å, c = 7.8992 Å, α = 90.00°, β = 90.00° and γ = 120.00°. Symmetry generates all atoms from Mn at (0.0000, 0.0000, 0.0000), Be at (0.6667, 0.3333, 0.2250), Tc at (0.3333, 0.6667, 0.7543) and Pd at (0.0000, 0.0000, 0.4511).


Entry 4:
Ga2Ag2Hg after structural relaxation, computed with GGA-PBE.

For the total magnetization, the calculation gives 0.000 μB/atom. The value obtained for the density of states at the Fermi level is 3.32 states/eV per cell. As for the total energy: -2.303 eV/atom. The calculated formation energy is 0.5 eV per formula unit. For the energy above the most stable polymorph in this dataset, the calculation gives 0.32 eV/f.u.

It has space group I4/mmm (No. 139), with a = 3.9973 Å, b = 3.9973 Å, c = 12.8340 Å, α = 90.00°, β = 90.00° and γ = 90.00°. Symmetry generates all atoms from Ga at (0.0000, 0.0000, 0.0997), Ag at (0.0000, 0.5000, 0.2500) and Hg at (0.0000, 0.0000, 0.5000).


Entry 5:
SrPm4Cu5 after structural relaxation, computed with GGA-PBE.

For the total magnetization, the calculation gives 0.000 μB/atom. The value obtained for the density of states at the Fermi level is 7.91 states/eV per cell. As for the total energy: -4.243 eV/atom. The calculated formation energy is -1.3 eV per formula unit.

It has space group P4/mmm (No. 123), with a = 3.5954 Å, b = 3.5954 Å, c = 18.1424 Å, α = 90.00°, β = 90.00° and γ = 90.00°. Symmetry generates all atoms from Sr at (0.0000, 0.0000, 0.0000), Pm at (0.0000, 0.0000, 0.2058), Pm at (0.0000, 0.0000, 0.4028), Cu at (0.5000, 0.5000, 0.1192), Cu at (0.5000, 0.5000, 0.3031) and Cu at (0.5000, 0.5000, 0.5000).


Entry 6:
Ir2Os2Rh3 after structural relaxation, computed with GGA-PBE.

For the total magnetization, the calculation gives 0.000 μB/atom. The value obtained for the density of states at the Fermi level is 6.22 states/eV per cell. As for the total energy: -8.737 eV/atom. The calculated formation energy is 1.1 eV per formula unit.

It has space group P-1 (No. 2), with a = 2.7140 Å, b = 4.6638 Å, c = 8.7599 Å, α = 105.35°, β = 90.07° and γ = 106.91°. Symmetry generates all atoms from Ir at (0.2335, 0.4682, 0.3642), Os at (0.4679, 0.9364, 0.2173), Rh at (0.0000, 0.0000, 0.5000) and Rh at (0.1512, 0.3007, 0.0572).


Entry 7:
CsK3Pb after structural relaxation, computed with GGA-PBE.

For the total magnetization, the calculation gives 0.001 μB/atom. The value obtained for the density of states at the Fermi level is 9.49 states/eV per cell. As for the total energy: -1.624 eV/atom. The calculated formation energy is -0.3 eV per formula unit. For the energy above the most stable polymorph in this dataset, the calculation gives 0.00 eV/f.u.

It has space group P2_1/m (No. 11), with a = 10.0788 Å, b = 5.5890 Å, c = 11.7538 Å, α = 90.00°, β = 105.79° and γ = 90.00°. Symmetry generates all atoms from Cs at (0.2194, 0.2500, 0.1803), K at (0.1144, 0.2500, 0.6569), K at (0.3709, 0.7500, 0.9114), K at (0.3732, 0.7500, 0.5275) and Pb at (0.4867, 0.2500, 0.7479).


Entry 8:
Na2MnI2Br2 after structural relaxation, computed with GGA-PBE.

For the energy relative to the elements, uncorrected, the calculation gives -1032.8 meV per atom. For the total magnetization, the calculation gives 0.714 μB/atom. The value obtained for the density of states at the Fermi level is 0.00 states/eV per cell. As for the total energy: -3.641 eV/atom.

It has space group C2/m (No. 12), with a = 15.2785 Å, b = 4.3689 Å, c = 7.6929 Å, α = 90.00°, β = 118.00° and γ = 90.00°. Symmetry generates all atoms from Na at (0.2145, 0.0000, 0.2504), Mn at (0.0000, 0.5000, 0.5000), I at (0.1225, 0.0000, 0.7746) and Br at (0.1162, 0.5000, 0.3376).


Entry 9:
Ca2TlSe2 after structural relaxation, computed with GGA-PBE.

For the energy relative to the elements, uncorrected, the calculation gives -1161.0 meV per atom. For the total magnetization, the calculation gives 0.000 μB/atom. The value obtained for the density of states at the Fermi level is 8.49 states/eV per cell. As for the total energy: -3.829 eV/atom. For the energy above the most stable polymorph in this dataset, the calculation gives 0.78 eV/f.u.

It has space group P4/mbm (No. 127), with a = 8.3611 Å, b = 8.3611 Å, c = 3.7886 Å, α = 90.00°, β = 90.00° and γ = 90.00°. Symmetry generates all atoms from Ca at (0.1464, 0.3536, 0.0000), Tl at (0.0000, 0.0000, 0.0000) and Se at (0.1568, 0.6568, 0.5000).


Entry 10:
KSmS14 after structural relaxation, computed with GGA-PBE.

For the energy relative to the elements, uncorrected, the calculation gives -198.7 meV per atom. For the total magnetization, the calculation gives 0.000 μB/atom. The value obtained for the density of states at the Fermi level is 28.03 states/eV per cell. As for the total energy: -4.174 eV/atom.

It has space group Imma (No. 74), with a = 9.7039 Å, b = 14.7875 Å, c = 13.3369 Å, α = 90.00°, β = 90.00° and γ = 90.00°. Symmetry generates all atoms from K at (0.0000, 0.2500, 0.0472), Sm at (0.2500, 0.2500, 0.7500), S at (0.0000, 0.0730, 0.8309), S at (0.0000, 0.1405, 0.6942), S at (0.0000, 0.1826, 0.3980), S at (0.1757, 0.1170, 0.9012) and S at (0.2321, 0.1368, 0.3211).


Entry 11:
Si4AsPt after structural relaxation, computed with GGA-PBE.

For the energy relative to the elements, uncorrected, the calculation gives 552.3 meV per atom. For the total magnetization, the calculation gives 0.000 μB/atom. The value obtained for the density of states at the Fermi level is 8.26 states/eV per cell. As for the total energy: -4.845 eV/atom.

It has space group F-43m (No. 216), with a = 7.2559 Å, b = 7.2559 Å, c = 7.2559 Å, α = 90.00°, β = 90.00° and γ = 90.00°. Symmetry generates all atoms from Si at (0.1247, 0.1247, 0.1247), As at (0.2500, 0.2500, 0.7500) and Pt at (0.0000, 0.0000, 0.5000).


Entry 12:
Np2SiGe3Pt4 after structural relaxation, computed with GGA-PBE.

For the energy relative to the elements, uncorrected, the calculation gives -579.2 meV per atom. For the total magnetization, the calculation gives 0.807 μB/atom. The value obtained for the density of states at the Fermi level is 23.51 states/eV per cell. As for the total energy: -7.511 eV/atom.

It has space group P-4m2 (No. 115), with a = 4.3097 Å, b = 4.3097 Å, c = 10.0209 Å, α = 90.00°, β = 90.00° and γ = 90.00°. Symmetry generates all atoms from Np at (0.0000, 0.5000, 0.2467), Si at (0.5000, 0.5000, 0.0000), Ge at (0.0000, 0.0000, 0.0000), Ge at (0.0000, 0.5000, 0.6363), Pt at (0.0000, 0.0000, 0.5000), Pt at (0.0000, 0.5000, 0.8811) and Pt at (0.5000, 0.5000, 0.5000).


Entry 13:
RbMg2BePd after structural relaxation, computed with GGA-PBE.

For the total magnetization, the calculation gives 0.000 μB/atom. The value obtained for the density of states at the Fermi level is 4.73 states/eV per cell. As for the total energy: -0.965 eV/atom. The calculated formation energy is 8.3 eV per formula unit.

It has space group P4/mmm (No. 123), with a = 6.7055 Å, b = 6.7055 Å, c = 5.3668 Å, α = 90.00°, β = 90.00° and γ = 90.00°. Symmetry generates all atoms from Rb at (0.0000, 0.0000, 0.0000), Mg at (0.0000, 0.5000, 0.0000), Be at (0.5000, 0.5000, 0.5000) and Pd at (0.0000, 0.0000, 0.5000).


Entry 14:
NaLaTc after structural relaxation, computed with GGA-PBE.

For the total magnetization, the calculation gives 0.000 μB/atom. The value obtained for the density of states at the Fermi level is 6.16 states/eV per cell. As for the total energy: -5.510 eV/atom. The calculated formation energy is 0.1 eV per formula unit. For the energy above the most stable polymorph in this dataset, the calculation gives 0.01 eV/f.u.

It has space group P-3m1 (No. 164), with a = 4.1293 Å, b = 4.1293 Å, c = 13.6854 Å, α = 90.00°, β = 90.00° and γ = 120.00°. Symmetry generates all atoms from Na at (0.3333, 0.6667, 0.3942), La at (0.0000, 0.0000, 0.1553) and Tc at (0.3333, 0.6667, 0.9775).


Entry 15:
Ti2SiNi8 after structural relaxation, computed with GGA-PBE.

For the energy relative to the elements, uncorrected, the calculation gives -370.2 meV per atom. For the total magnetization, the calculation gives 0.000 μB/atom. The value obtained for the density of states at the Fermi level is 8.23 states/eV per cell. As for the total energy: -6.503 eV/atom.

It has space group C2/m (No. 12), with a = 13.4094 Å, b = 4.1145 Å, c = 5.2160 Å, α = 90.00°, β = 112.83° and γ = 90.00°. Symmetry generates all atoms from Ti at (0.1915, 0.0000, 0.1913), Si at (0.0000, 0.5000, 0.5000), Ni at (0.0001, 0.0000, 0.2477), Ni at (0.1372, 0.5000, 0.3743), Ni at (0.1369, 0.5000, 0.9003) and Ni at (0.1799, 0.0000, 0.6798).


Entry 16:
SiSeBr4 after structural relaxation, computed with GGA-PBE.

For the energy relative to the elements, uncorrected, the calculation gives 1015.6 meV per atom. For the total magnetization, the calculation gives 0.134 μB/atom. The value obtained for the density of states at the Fermi level is 28.68 states/eV per cell. As for the total energy: -1.584 eV/atom.

It has space group F-43m (No. 216), with a = 8.6913 Å, b = 8.6913 Å, c = 8.6913 Å, α = 90.00°, β = 90.00° and γ = 90.00°. Symmetry generates all atoms from Si at (0.0000, 0.0000, 0.0000), Se at (0.2500, 0.2500, 0.2500) and Br at (0.1248, 0.1248, 0.6248).


Entry 17:
Ac3Ag2Pd3 after structural relaxation, computed with GGA-PBE.

For the total magnetization, the calculation gives 0.000 μB/atom. The value obtained for the density of states at the Fermi level is 18.89 states/eV per cell. As for the total energy: -4.815 eV/atom. The calculated formation energy is -4.9 eV per formula unit. For the energy above the most stable polymorph in this dataset, the calculation gives 0.00 eV/f.u.

It has space group Cmcm (No. 63), with a = 4.2588 Å, b = 13.1314 Å, c = 15.0181 Å, α = 90.00°, β = 90.00° and γ = 90.00°. Symmetry generates all atoms from Ac at (0.0000, 0.0763, 0.1094), Ac at (0.0000, 0.3432, 0.2500), Ag at (0.0000, 0.2290, 0.5749), Pd at (0.0000, 0.3363, 0.7500) and Pd at (0.0000, 0.4078, 0.0478).


Entry 18:
ZrNiAg after structural relaxation, computed with GGA-PBE.

For the total magnetization, the calculation gives 0.000 μB/atom. The value obtained for the density of states at the Fermi level is 9.27 states/eV per cell. As for the total energy: -5.787 eV/atom. The calculated formation energy is -0.2 eV per formula unit. For the energy above the most stable polymorph in this dataset, the calculation gives 0.56 eV/f.u.

It has space group P1 (No. 1), with a = 5.3300 Å, b = 6.9072 Å, c = 6.9902 Å, α = 63.07°, β = 71.92° and γ = 68.10°. Symmetry generates all atoms from Zr at (0.0000, 0.0000, 0.0000), Zr at (0.0013, 0.4602, 0.0619), Zr at (0.3864, 0.5593, 0.2347), Zr at (0.7529, 0.6379, 0.5059), Ni at (0.1208, 0.7987, 0.4676), Ni at (0.2680, 0.7360, 0.7823), Ni at (0.6305, 0.3924, 0.9392), Ni at (0.7266, 0.1381, 0.3353), Ag at (0.1061, 0.1709, 0.5128), Ag at (0.3529, 0.3407, 0.6974), Ag at (0.4382, 0.0272, 0.1518) and Ag at (0.6671, 0.8893, 0.7839).


Entry 19:
PuVCr after structural relaxation, computed with GGA-PBE.

For the total magnetization, the calculation gives 1.144 μB/atom. The value obtained for the density of states at the Fermi level is 6.41 states/eV per cell. As for the total energy: -10.705 eV/atom. The calculated formation energy is 1.0 eV per formula unit. For the energy above the most stable polymorph in this dataset, the calculation gives 0.00 eV/f.u.

It has space group P3m1 (No. 156), with a = 4.3327 Å, b = 4.3327 Å, c = 2.7795 Å, α = 90.00°, β = 90.00° and γ = 120.00°. Symmetry generates all atoms from Pu at (0.0000, 0.0000, 0.0000), V at (0.3333, 0.6667, 0.6975) and Cr at (0.6667, 0.3333, 0.2828).


Entry 20:
Tm5NiBi2 after structural relaxation, computed with GGA-PBE.

For the total magnetization, the calculation gives 0.000 μB/atom. The value obtained for the density of states at the Fermi level is 27.45 states/eV per cell. As for the total energy: -4.624 eV/atom. The calculated formation energy is -1.1 eV per formula unit. For the energy above the most stable polymorph in this dataset, the calculation gives 3.21 eV/f.u.

It has space group Cmcm (No. 63), with a = 5.3504 Å, b = 15.9687 Å, c = 13.8446 Å, α = 90.00°, β = 90.00° and γ = 90.00°. Symmetry generates all atoms from Tm at (0.0000, 0.0595, 0.1213), Tm at (0.0000, 0.2719, 0.0987), Tm at (0.0000, 0.3033, 0.7500), Ni at (0.0000, 0.1736, 0.2500) and Bi at (0.0000, 0.1351, 0.5867).


Entry 21:
LiAgF2 after structural relaxation, computed with GGA-PBE.

For the energy relative to the elements, uncorrected, the calculation gives -1932.0 meV per atom. For the total magnetization, the calculation gives 0.000 μB/atom. As for the total energy: -4.059 eV/atom. For the energy above the most stable polymorph in this dataset, the calculation gives 0.10 eV/f.u.

It has space group Pna2_1 (No. 33), with a = 5.4959 Å, b = 7.2371 Å, c = 5.6672 Å, α = 90.00°, β = 90.00° and γ = 90.00°. Symmetry generates all atoms from Li at (0.0782, 0.1278, 0.0000), Ag at (0.0642, 0.6505, 0.9927), F at (0.0406, 0.0733, 0.6774) and F at (0.0858, 0.6497, 0.5735).


Entry 22:
Sm4ZnGa3 after structural relaxation, computed with GGA-PBE.

For the total magnetization, the calculation gives 0.000 μB/atom. The value obtained for the density of states at the Fermi level is 6.17 states/eV per cell. As for the total energy: -4.170 eV/atom. The calculated formation energy is -4.1 eV per formula unit. For the energy above the most stable polymorph in this dataset, the calculation gives 0.00 eV/f.u.

It has space group P4/mmm (No. 123), with a = 5.1638 Å, b = 5.1638 Å, c = 7.2983 Å, α = 90.00°, β = 90.00° and γ = 90.00°. Symmetry generates all atoms from Sm at (0.0000, 0.5000, 0.2485), Zn at (0.0000, 0.0000, 0.0000), Ga at (0.0000, 0.0000, 0.5000), Ga at (0.5000, 0.5000, 0.0000) and Ga at (0.5000, 0.5000, 0.5000).